[1]
Material: Pm6CuIr2
Method: DFT, PBE
State: relaxed

Results
The total energy is -5.961 eV per atom. Its density is 8.61 g cm⁻³. Its energy relative to the elements is -0.3697 eV/atom. The total magnetic moment comes out at 0.0 μB per formula unit.

abc: 6.7565 7.3403 10.2767
angles: 90.00 94.19 90.00
Last column: nearest neighbours and their distance in Å.
Fractional positions:
Ir 0.4482 0.1189 0.2743  6 Pm 2.86-3.13
Ir 0.9482 0.3811 0.7743  6 Pm 2.86-3.13
Ir 0.5518 0.8811 0.7257  6 Pm 2.86-3.13
Ir 0.0518 0.6189 0.2257  6 Pm 2.86-3.13
Pm 0.1612 0.3191 0.0684  1 Cu 2.78, 1 Ir 2.86
Pm 0.3333 0.5474 0.7408  1 Cu 2.84, 2 Ir 2.87-2.92
Pm 0.3204 0.8342 0.0831  2 Ir 2.89-2.95, 1 Cu 2.89
Pm 0.8333 0.9526 0.2408  1 Cu 2.84, 2 Ir 2.87-2.92
Pm 0.1796 0.3342 0.4169  2 Ir 2.89-2.95, 1 Cu 2.89
Pm 0.8204 0.6658 0.5831  2 Ir 2.89-2.95, 1 Cu 2.89
Pm 0.1667 0.0474 0.7592  1 Cu 2.84, 2 Ir 2.87-2.92
Pm 0.6796 0.1658 0.9169  2 Ir 2.89-2.95, 1 Cu 2.89
Pm 0.6667 0.4526 0.2592  1 Cu 2.84, 2 Ir 2.87-2.92
Pm 0.6612 0.1809 0.5684  1 Cu 2.78, 1 Ir 2.86
Pm 0.8388 0.6809 0.9316  1 Cu 2.78, 1 Ir 2.86
Pm 0.3388 0.8191 0.4316  1 Cu 2.78, 1 Ir 2.86
Cu 0.0000 0.0000 0.5000  6 Pm 2.78-2.89
Cu 0.5000 0.5000 0.0000  6 Pm 2.78-2.89

***

[2]
Material: ZrNi2Sn2
Method: DFT, PBE
State: relaxed

Results
The total energy is -5.873 eV per atom. Its density is 8.48 g cm⁻³. Its energy relative to the elements is -0.2501 eV/atom. The total magnetic moment comes out at 0.0 μB per formula unit.

abc: 7.2817 7.2817 3.2960
angles: 90.00 90.00 90.00
Last column: nearest neighbours and their distance in Å.
Fractional positions:
Zr 0.5000 0.5000 0.0000  4 Ni 2.89, 8 Sn 3.16
Zr 0.0000 0.0000 0.0000  4 Ni 2.89, 8 Sn 3.16
Ni 0.1214 0.3786 0.0000  1 Ni 2.50, 6 Sn 2.69-2.72
Ni 0.8786 0.6214 0.0000  1 Ni 2.50, 6 Sn 2.69-2.72
Ni 0.6214 0.1214 0.0000  1 Ni 2.50, 6 Sn 2.69-2.72
Ni 0.3786 0.8786 0.0000  1 Ni 2.50, 6 Sn 2.69-2.72
Sn 0.3279 0.1721 0.5000  6 Ni 2.69-2.72
Sn 0.6721 0.8279 0.5000  6 Ni 2.69-2.72
Sn 0.8279 0.3279 0.5000  6 Ni 2.69-2.72
Sn 0.1721 0.6721 0.5000  6 Ni 2.69-2.72

***

[3]
Material: YAs2Ir
Method: DFT, PBE
State: relaxed

Results
The total energy is -6.599 eV per atom. Its density is 9.66 g cm⁻³. Its energy relative to the elements is -0.4431 eV/atom. The total magnetic moment comes out at 0.0 μB per formula unit.

abc: 4.4549 4.4522 3.7335
angles: 90.00 90.00 90.00
Last column: nearest neighbours and their distance in Å.
Fractional positions:
As 0.5000 0.5000 0.0000  4 Ir 2.91, 4 Y 2.91, 4 As 3.15
As 0.0000 0.0000 0.0000  4 Y 2.91, 4 Ir 2.91, 4 As 3.15
Y 0.0000 0.5000 0.5000  8 As 2.91, 4 Ir 3.15
Ir 0.5000 0.0000 0.5000  8 As 2.91, 4 Y 3.15

***

[4]
Material: LaPm2Au2
Method: DFT, PBE
State: relaxed

Results
The total energy is -4.781 eV per atom. Its density is 9.04 g cm⁻³. Its energy relative to the elements is -0.5844 eV/atom. The total magnetic moment comes out at 0.0 μB per formula unit.

abc: 5.0510 5.4317 11.1071
angles: 97.02 90.00 90.00
Last column: nearest neighbours and their distance in Å.
Fractional positions:
La 0.2500 0.7047 0.2369  3 Au 3.18-3.55
La 0.7500 0.2953 0.7631  3 Au 3.18-3.55
Au 0.2500 0.3422 0.9890  4 Pm 2.90-3.06, 2 Au 3.05, 1 La 3.18
Au 0.7500 0.2156 0.3744  5 Pm 2.89-3.01
Au 0.7500 0.6578 0.0111  4 Pm 2.90-3.06, 2 Au 3.05, 1 La 3.18
Au 0.2500 0.7844 0.6256  5 Pm 2.89-3.01
Pm 0.7500 0.1766 0.1128  5 Au 2.89-3.06
Pm 0.2500 0.8234 0.8872  5 Au 2.89-3.06
Pm 0.2500 0.2537 0.5104  4 Au 2.94-3.01
Pm 0.7500 0.7463 0.4896  4 Au 2.94-3.01